Record 1
Here is CaRhW2 after structural relaxation from Alexandria. Energies are from PBE.

Structure (CIF):
```
data_CaRhW2
_cell_length_a 3.769
_cell_length_b 3.769
_cell_length_c 10.884
_cell_angle_alpha 80.03
_cell_angle_beta 80.03
_cell_angle_gamma 90.00
_space_group_name_H-M_alt 'P 1'
_space_group_IT_number 1
_space_group_name_Hall 'P 1'
loop_
_atom_site_label
_atom_site_type_symbol
_atom_site_fract_x
_atom_site_fract_y
_atom_site_fract_z
Ca1 Ca 0.500 0.500 0.000
Ca2 Ca 0.250 0.750 0.500
Rh1 Rh 0.000 0.000 0.000
Rh2 Rh 0.750 0.250 0.500
W1 W 0.636 0.125 0.250
W2 W 0.114 0.625 0.250
W3 W 0.375 0.364 0.750
W4 W 0.875 0.886 0.750
```

The value obtained for the calculated density is 11.31 Mg/m³. Its magnetization is 0.00 μB/f.u. The value obtained for the calculated volume is 150 Å³/cell. As for the space group: No. 122.



Record 2
Here is CaRhW2 after structural relaxation from Alexandria. Energies are from PBE.

Structure (CIF):
```
data_CaRhW2
_cell_length_a 5.028
_cell_length_b 5.028
_cell_length_c 5.536
_cell_angle_alpha 74.77
_cell_angle_beta 74.77
_cell_angle_gamma 35.04
_space_group_name_H-M_alt 'P 1'
_space_group_IT_number 1
_space_group_name_Hall 'P 1'
loop_
_atom_site_label
_atom_site_type_symbol
_atom_site_fract_x
_atom_site_fract_y
_atom_site_fract_z
Ca1 Ca 0.491 0.491 0.520
Rh1 Rh 0.725 0.725 0.801
W1 W 0.001 0.001 0.011
W2 W 0.282 0.282 0.168
```

The value obtained for the calculated density is 10.98 Mg/m³. Its magnetization is 0.00 μB/f.u. The value obtained for the calculated volume is 77 Å³/cell. As for the space group: No. 8.



Record 3
Here is Ca2RhW after structural relaxation from Alexandria. Energies are from PBE.

Structure (CIF):
```
data_Ca2RhW
_cell_length_a 4.993
_cell_length_b 4.993
_cell_length_c 4.993
_cell_angle_alpha 60.00
_cell_angle_beta 60.00
_cell_angle_gamma 60.00
_space_group_name_H-M_alt 'P 1'
_space_group_IT_number 1
_space_group_name_Hall 'P 1'
loop_
_atom_site_label
_atom_site_type_symbol
_atom_site_fract_x
_atom_site_fract_y
_atom_site_fract_z
Ca1 Ca 0.250 0.250 0.250
Ca2 Ca 0.750 0.750 0.750
Rh1 Rh 0.000 0.000 0.000
W1 W 0.500 0.500 0.500
```

The value obtained for the calculated density is 6.92 Mg/m³. Its magnetization is 3.50 μB/f.u. The value obtained for the calculated volume is 88 Å³/cell. As for the space group: No. 225.



Record 4
Here is CaRhW2 after structural relaxation from Alexandria. Energies are from PBE.

Structure (CIF):
```
data_CaRhW2
_cell_length_a 3.244
_cell_length_b 3.241
_cell_length_c 7.068
_cell_angle_alpha 90.00
_cell_angle_beta 90.00
_cell_angle_gamma 90.00
_space_group_name_H-M_alt 'P 1'
_space_group_IT_number 1
_space_group_name_Hall 'P 1'
loop_
_atom_site_label
_atom_site_type_symbol
_atom_site_fract_x
_atom_site_fract_y
_atom_site_fract_z
Ca1 Ca 0.000 0.000 0.511
Rh1 Rh 0.500 0.500 0.781
W1 W 0.000 0.000 0.012
W2 W 0.500 0.500 0.196
```

The value obtained for the calculated density is 11.41 Mg/m³. Its magnetization is 0.00 μB/f.u. The value obtained for the calculated volume is 74 Å³/cell. As for the space group: No. 99.



Taking the records one at a time from the top gives E_form values of 0.866 0.470 0.788 0.305 eV per atom.